Entry from Alexandria: a geometry-optimized AlAsPb structure (GGA-PBEsol).

```
AlAsPb
1.0
-3.6400 0.6734 1.1663
1.3125 -3.6434 -0.2578
1.6864 0.2451 5.1218
Al As Pb
1 1 1
Cartesian
1.2343 0.1794 3.7487
1.2379 -1.9754 5.0041
-1.4269 -0.6838 2.3993
```

Summary:
mass density	7289	kg/m3
formation energy	-0.046	eV/atom
density of states at the Fermi level	1.2	states/eV/cell
offset from the most stable computed form	0	meV/atom
size of the total moment	0.00	μB per cell
space group	No. 156